(1)
A relaxed NdMg3Rh crystal. Source: Alexandria via LeMat-Bulk, functional GGA-PBE.

Output
The value obtained for the volume is 24.28 A^3/atom. The calculation puts the uncorrected energy at -3.57 eV/atom. The mass density is 4377 kg/m3. The space group is No. 221. The value obtained for the energy above the lowest structure with this stoichiometry is 0.033 eV/atom.

Cell and atoms, written as POSCAR:
```
NdMg3Rh
1.0
4.952 0.000 0.000
0.000 4.952 0.000
0.000 0.000 4.952
Nd Rh Mg
1 1 3
direct
0.500 0.500 0.500
0.000 0.000 0.000
0.000 0.000 0.500
0.000 0.500 0.000
0.500 0.000 0.000
```

---

(2)
A relaxed La5Er2Th crystal. Source: Alexandria via LeMat-Bulk, functional GGA-PBE.

Output
The value obtained for the volume is 34.54 A^3/atom. The calculation puts the uncorrected energy at -5.13 eV/atom. The mass density is 7578 kg/m3. The space group is No. 55.

Cell and atoms, written as POSCAR:
```
La5Er2Th
1.0
-0.194 0.416 -5.137
-7.218 -1.231 0.172
-2.421 14.375 1.254
La Er Th
10 4 2
direct
0.500 0.752 0.623
0.000 0.500 0.500
0.000 0.989 0.747
0.500 0.748 0.123
0.500 0.252 0.877
0.500 0.248 0.377
0.000 0.000 0.000
0.000 0.489 0.753
0.000 0.511 0.247
0.000 0.011 0.253
0.500 0.263 0.120
0.500 0.737 0.880
0.500 0.763 0.380
0.500 0.237 0.620
0.000 0.500 0.000
0.000 0.000 0.500
```

---

(3)
A relaxed AcPrAg2 crystal. Source: Alexandria via LeMat-Bulk, functional GGA-PBE.

Output
The value obtained for the volume is 32.39 A^3/atom. The calculation puts the uncorrected energy at -3.70 eV/atom. The mass density is 7481 kg/m3. The space group is No. 166. The value obtained for the energy above the lowest structure with this stoichiometry is 0.194 eV/atom.

Cell and atoms, written as POSCAR:
```
AcPrAg2
1.0
-1.576 -1.335 3.702
-2.715 -3.255 0.098
4.943 -6.821 2.073
Ac Pr Ag
1 1 2
direct
0.000 0.000 0.000
0.500 0.500 0.500
0.754 0.754 0.738
0.246 0.246 0.262
```

---

(4)
A relaxed U2Tl3CuS6 crystal. Source: Alexandria via LeMat-Bulk, functional GGA-PBE.

Output
The value obtained for the volume is 25.78 A^3/atom. The calculation puts the uncorrected energy at -5.70 eV/atom. For the uncorrected formation energy, the calculation gives -0.8262 eV per atom. The mass density is 7222 kg/m3. The space group is No. 12.

Cell and atoms, written as POSCAR:
```
U2Tl3CuS6
1.0
7.034 -0.227 0.023
-3.712 5.979 0.023
-1.081 -1.872 7.489
U Tl S Cu
2 3 6 1
direct
0.335 0.665 0.000
0.665 0.335 0.000
0.153 0.847 0.500
0.500 0.500 0.500
0.847 0.153 0.500
0.246 0.246 0.841
0.062 0.437 0.213
0.437 0.062 0.213
0.938 0.563 0.787
0.563 0.938 0.787
0.754 0.754 0.159
0.000 0.000 0.000
```

---

Q: What is the formula in the third record?
A: AcPrAg2

---

Q: Which value of uncorrected energy does entry 2 give?
A: -5.13 eV/atom

---

Q: Which value of mass density does entry 4 give?
A: 7222 kg/m3

---

What did the fourth record say?
A relaxed U2Tl3CuS6 crystal. Source: Alexandria via LeMat-Bulk, functional GGA-PBE.

Output
The value obtained for the volume is 25.78 A^3/atom. The calculation puts the uncorrected energy at -5.70 eV/atom. For the uncorrected formation energy, the calculation gives -0.8262 eV per atom. The mass density is 7222 kg/m3. The space group is No. 12.

Cell and atoms, written as POSCAR:
```
U2Tl3CuS6
1.0
7.034 -0.227 0.023
-3.712 5.979 0.023
-1.081 -1.872 7.489
U Tl S Cu
2 3 6 1
direct
0.335 0.665 0.000
0.665 0.335 0.000
0.153 0.847 0.500
0.500 0.500 0.500
0.847 0.153 0.500
0.246 0.246 0.841
0.062 0.437 0.213
0.437 0.062 0.213
0.938 0.563 0.787
0.563 0.938 0.787
0.754 0.754 0.159
0.000 0.000 0.000
```